# VOF, relaxed, DFT GGA+U
data_VOF
_chemical_formula_sum 'V6 O6 F6'
_symmetry_space_group_name_H-M 'P 1'
_symmetry_Int_Tables_number 1
_cell_length_a 3.104
_cell_length_b 4.735
_cell_length_c 14.238
_cell_angle_alpha 90.00
_cell_angle_beta 90.00
_cell_angle_gamma 90.00
loop_
_symmetry_equiv_pos_as_xyz
'x,y,z'
loop_
_atom_site_label
_atom_site_fract_x
_atom_site_fract_y
_atom_site_fract_z
V1 0.000 0.171 0.000
V2 0.000 0.270 0.334
V3 0.000 0.273 0.667
V4 0.500 0.727 0.167
V5 0.500 0.730 0.834
V6 0.500 0.829 0.500
O1 0.000 0.545 0.234
O2 0.000 0.918 0.103
O3 0.000 0.991 0.433
O4 0.500 0.009 0.933
O5 0.500 0.082 0.603
O6 0.500 0.455 0.734
F1 0.000 0.519 0.901
F2 0.000 0.585 0.562
F3 0.000 0.943 0.770
F4 0.500 0.057 0.270
F5 0.500 0.415 0.062
F6 0.500 0.481 0.401
# Symmetry ... Pmn2_1
# Calculated density ... 4.1 g cm⁻³
# VASP energy ... -7.159 eV/atom
# Volume ... 11.626 Å³ per atom